Material: Rb2PaP2N6
Method: DFT, PBE
State: relaxed

Computed properties:
Space group: R-3m (166)
E in eV/atom: -7.180
Calculated volume in Å³ per atom: 18.0
Density of states at the Fermi level in states/eV per cell: 4.45
Energy relative to the elements, uncorrected in eV/atom: -0.616

Unit cell a=7.3986 b=7.3986 c=7.3986 alpha=47.02 beta=47.02 gamma=47.02
With the nearest neighbours (Å) after each atom.
Positions (direct):
1 Rb 0.2067 0.2067 0.2067  9 N 3.17-3.28
2 Rb 0.7933 0.7933 0.7933  9 N 3.17-3.28
3 Pa 0.0000 0.0000 0.0000  6 N 2.27
4 P 0.4003 0.4003 0.4003  3 N 1.58
5 P 0.5997 0.5997 0.5997  3 N 1.58
6 N 0.2474 0.2474 0.7106  1 P 1.58
7 N 0.2474 0.7106 0.2474  1 P 1.58
8 N 0.2894 0.7526 0.7526  1 P 1.58
9 N 0.7106 0.2474 0.2474  1 P 1.58
10 N 0.7526 0.2894 0.7526  1 P 1.58
11 N 0.7526 0.7526 0.2894  1 P 1.58